PmPrAgPt (GGA-PBE, relaxed); energy relative to the elements = -266 kJ/mol of formula units; final energy = -5.30 eV per atom; total moment = 0.00 μB per cell; ΔE to the lowest computed polymorph = 0.000 eV per atom
1.0
4.7208 0.0000 0.0000
0.0000 1.9700 5.5326
0.0000 -1.9700 5.5326
Pm Pr Ag Pt
1 1 1 1
direct
0.0000 0.0000 0.0000
0.5000 0.7240 0.7240
0.0000 0.2822 0.2822
0.5000 0.4485 0.4485

***

In2SeI2 (GGA-PBE, relaxed); final energy = -2.86 eV per atom; total moment = 0.00 μB per cell
1.0
12.6024 0.0000 0.0000
0.0000 7.9038 0.0000
-2.0454 0.0000 7.7033
In Se I
8 4 8
direct
0.0164 0.1466 0.3284
0.0164 0.3534 0.8284
0.3825 0.5748 0.1981
0.3825 0.9252 0.6981
0.6175 0.0748 0.3019
0.6175 0.4252 0.8019
0.9836 0.6466 0.1716
0.9836 0.8534 0.6716
0.1170 0.1227 0.6732
0.1170 0.3773 0.1732
0.8830 0.6227 0.8268
0.8830 0.8773 0.3268
0.1634 0.6029 0.6906
0.1634 0.8971 0.1906
0.4316 0.2460 0.9769
0.4316 0.2540 0.4769
0.5684 0.7460 0.5231
0.5684 0.7540 0.0231
0.8366 0.1029 0.8094
0.8366 0.3971 0.3094

***

AgAuF7 (GGA-PBE, relaxed); final energy = -3.11 eV per atom; total moment = 0.00 μB per cell
1.0
7.9025 0.0000 0.0000
0.0000 7.2955 0.0000
0.0000 0.0000 10.2728
Ag Au F
4 4 28
direct
0.1329 0.2500 0.2411
0.3671 0.7500 0.7411
0.6329 0.2500 0.2589
0.8671 0.7500 0.7589
0.1959 0.7500 0.0562
0.3041 0.2500 0.5562
0.6959 0.7500 0.4438
0.8041 0.2500 0.9438
0.0326 0.2500 0.0241
0.0830 0.2500 0.6358
0.1135 0.7500 0.6981
0.1190 0.5646 0.1809
0.1190 0.9354 0.1809
0.2254 0.0687 0.4288
0.2254 0.4313 0.4288
0.2746 0.5687 0.9288
0.2746 0.9313 0.9288
0.3810 0.0646 0.6809
0.3810 0.4354 0.6809
0.3865 0.2500 0.1981
0.4170 0.7500 0.1358
0.4674 0.7500 0.5241
0.5326 0.2500 0.4759
0.5830 0.2500 0.8642
0.6135 0.7500 0.8019
0.6190 0.5646 0.3191
0.6190 0.9354 0.3191
0.7254 0.0687 0.0712
0.7254 0.4313 0.0712
0.7746 0.5687 0.5712
0.7746 0.9313 0.5712
0.8810 0.0646 0.8191
0.8810 0.4354 0.8191
0.8865 0.2500 0.3019
0.9170 0.7500 0.3642
0.9674 0.7500 0.9759